Density functional theory data (PBE) for a geometry-optimized Dy5IrPb2 structure.

Geometry as CIF:
```
data_Dy5IrPb2
_chemical_formula_sum 'Dy10 Ir2 Pb4'
_cell_length_a 7.032
_cell_length_b 7.032
_cell_length_c 8.958
_cell_angle_alpha 90.00
_cell_angle_beta 90.00
_cell_angle_gamma 90.00
_symmetry_space_group_name_H-M 'I 4 m m'
_symmetry_Int_Tables_number 107
_symmetry_space_group_name_Hall 'I 4 -2'
loop_
_atom_site_label
_atom_site_type_symbol
_atom_site_fract_x
_atom_site_fract_y
_atom_site_fract_z
Dy1 Dy 0.000 0.000 0.000
Dy2 Dy 0.249 0.249 0.739
Ir1 Ir 0.000 0.000 0.372
Pb1 Pb 0.000 0.500 0.489
```

Results
Formation energy from the elements, kJ per mole of atoms: -33.6